[1]
ZnReAsO, relaxed, DFT PBE; offset from the most stable computed form = 0.15 eV per formula unit; space group = P4/nmm (129); magnetization = 0.0 Bohr magnetons per cell; crystal system = tetragonal; calculated volume = 17.05 A^3/atom
1.0
3.835 0.000 0.000
0.000 3.835 0.000
0.000 0.000 9.275
Zn Re As O
2 2 2 2
direct
0.250 0.250 0.052
0.750 0.750 0.948
0.250 0.750 0.500
0.750 0.250 0.500
0.250 0.250 0.686
0.750 0.750 0.314
0.250 0.750 0.000
0.750 0.250 0.000



[2]
GdHoIn2Ni4, relaxed, DFT PBE; offset from the most stable computed form = 0.43 eV per formula unit; space group = P-6m2 (187); magnetization = 0.0 Bohr magnetons per cell; crystal system = hexagonal; calculated volume = 17.80 A^3/atom
1.0
4.403 0.000 0.000
-2.202 3.813 0.000
0.000 0.000 8.482
Gd Ho In Ni
1 1 2 4
direct
0.000 0.000 0.000
0.333 0.667 0.500
0.667 0.333 0.253
0.667 0.333 0.747
0.000 0.000 0.337
0.000 0.000 0.663
0.333 0.667 0.170
0.333 0.667 0.830



[3]
Er4CuPd3, relaxed, DFT PBE; energy of formation = -611 kJ/mol of formula units; space group = Pm (6); magnetization = 0.0 Bohr magnetons per cell; crystal system = monoclinic; calculated volume = 21.59 A^3/atom
1.0
5.499 0.000 0.000
0.000 4.540 0.000
-0.032 0.000 6.918
Er Cu Pd
4 1 3
direct
0.000 0.000 0.000
0.216 0.000 0.500
0.494 0.500 0.866
0.714 0.500 0.363
0.717 0.000 0.645
0.202 0.500 0.227
0.513 0.000 0.139
0.994 0.500 0.718



[4]
SmB, relaxed, DFT PBE; offset from the most stable computed form = 0.32 eV per formula unit; space group = P-6m2 (187); magnetization = 0.0 Bohr magnetons per cell; crystal system = hexagonal; calculated volume = 20.11 A^3/atom
1.0
3.532 0.000 0.000
-1.766 3.059 0.000
0.000 0.000 3.724
Sm B
1 1
direct
0.000 0.000 0.000
0.333 0.667 0.500



[5]
CdGeB, relaxed, DFT PBE; offset from the most stable computed form = 1.28 eV per formula unit; space group = F-43m (216); crystal system = cubic; calculated volume = 18.76 A^3/atom
1.0
6.083 0.000 0.000
0.000 6.083 0.000
0.000 0.000 6.083
Cd Ge B
4 4 4
direct
0.000 0.000 0.000
0.000 0.500 0.500
0.500 0.000 0.500
0.500 0.500 0.000
0.250 0.250 0.250
0.250 0.750 0.750
0.750 0.250 0.750
0.750 0.750 0.250
0.250 0.250 0.750
0.250 0.750 0.250
0.750 0.250 0.250
0.750 0.750 0.750



[6]
KTcTe3Au, relaxed, DFT PBE; total energy = -50.45 eV/cell; space group = Cmcm (63); magnetization = 4.6 Bohr magnetons per cell; crystal system = orthorhombic; calculated volume = 29.52 A^3/atom
1.0
2.000 -8.130 0.000
2.000 8.130 0.000
0.000 0.000 10.892
K Tc Te Au
2 2 6 2
direct
0.237 0.763 0.750
0.763 0.237 0.250
0.000 0.000 0.000
0.000 0.000 0.500
0.064 0.936 0.250
0.382 0.618 0.021
0.382 0.618 0.479
0.618 0.382 0.521
0.618 0.382 0.979
0.936 0.064 0.750
0.442 0.558 0.250
0.558 0.442 0.750